Compound: KV2IrO8
Source: Alexandria
Functional: GGA+U
Structure: optimized geometry

a = 5.3283 Å, b = 5.3283 Å, c = 7.8415 Å
α = 91.98°, β = 91.98°, γ = 64.60°
Closest atoms and distances in Å follow each position.
Element x y z (fractional)
K 0.0000 0.0000 0.0000  6 O 2.90-2.91
V 0.3628 0.3628 0.7022  4 O 1.65-1.81
V 0.6372 0.6372 0.2978  4 O 1.65-1.81
Ir 0.0000 0.0000 0.5000  6 O 1.95-1.96
O 0.2103 0.7338 0.6738  1 V 1.81, 1 Ir 1.95
O 0.2143 0.2143 0.5529  1 V 1.74
O 0.2662 0.7897 0.3262  1 V 1.81, 1 Ir 1.95
O 0.3072 0.3072 0.9001  1 V 1.65
O 0.6928 0.6928 0.0999  1 V 1.65
O 0.7338 0.2103 0.6738  1 V 1.81, 1 Ir 1.95
O 0.7857 0.7857 0.4471  1 V 1.74
O 0.7897 0.2662 0.3262  1 V 1.81, 1 Ir 1.95

total moment: 1.9 μB/cell
E_tot: -6.9070 eV/atom